# RbRu2Br PBE optimized geometry
data_RbRu2Br
_chemical_formula_sum 'Rb4 Ru8 Br4'
_cell_length_a 4.8995
_cell_length_b 4.8995
_cell_length_c 17.6423
_cell_angle_alpha 90.00
_cell_angle_beta 90.00
_cell_angle_gamma 90.00
_space_group_name_H-M_alt 'I -4 2 d'
_space_group_IT_number 122
_space_group_name_Hall 'I -4 2bw'
loop_
_atom_site_label
_atom_site_fract_x
_atom_site_fract_y
_atom_site_fract_z
Rb1 0.0000 0.0000 0.0000
Ru1 0.0189 0.7500 0.6250
Br1 0.0000 0.0000 0.5000
# Electronic total energy ... -71.48 eV/cell
# Distance to the lowest polymorph of the same formula ... 0.000 eV/atom
# Raw formation energy ... 0.8304 eV per atom